# TaZnOs2, optimized geometry, DFT PBE
# DFT total energy in eV per atom: -9.028
# Size of the total moment in Bohr magnetons per cell: 0.00
data_TaZnOs2
_chemical_formula_sum 'Ta1 Zn1 Os2'
_space_group_name_H-M_alt 'P 4/m m m'
_space_group_IT_number 123
_space_group_name_Hall '-P 4 2'
_cell_length_a 3.171
_cell_length_b 3.171
_cell_length_c 6.008
_cell_angle_alpha 90.00
_cell_angle_beta 90.00
_cell_angle_gamma 90.00
loop_
_atom_site_label
_atom_site_fract_x
_atom_site_fract_y
_atom_site_fract_z
_atom_site_occupancy
Ta1 0.000 0.000 0.000 1
Zn1 0.000 0.000 0.500 1
Os1 0.500 0.500 0.258 1

---

# TaZn2Os, optimized geometry, DFT PBE
# DFT total energy in eV per atom: -6.333
# Size of the total moment in Bohr magnetons per cell: 0.00
# E above lowest polymorph in meV/atom: 93
data_TaZn2Os
_chemical_formula_sum 'Ta2 Zn4 Os2'
_space_group_name_H-M_alt 'C 1 m 1'
_space_group_IT_number 8
_space_group_name_Hall 'C -2y'
_cell_length_a 8.973
_cell_length_b 3.018
_cell_length_c 4.708
_cell_angle_alpha 90.00
_cell_angle_beta 103.63
_cell_angle_gamma 90.00
loop_
_atom_site_label
_atom_site_fract_x
_atom_site_fract_y
_atom_site_fract_z
_atom_site_occupancy
Ta1 0.000 0.000 0.000 1
Zn1 0.238 0.000 0.688 1
Zn2 0.484 0.000 0.492 1
Os1 0.241 0.500 0.188 1

---

# TaZnOs2, optimized geometry, DFT PBE
# DFT total energy in eV per atom: -8.755
# Size of the total moment in Bohr magnetons per cell: 0.00
data_TaZnOs2
_chemical_formula_sum 'Ta2 Zn2 Os4'
_space_group_name_H-M_alt 'C m m m'
_space_group_IT_number 65
_space_group_name_Hall '-C 2 2'
_cell_length_a 3.074
_cell_length_b 4.635
_cell_length_c 8.694
_cell_angle_alpha 90.00
_cell_angle_beta 90.00
_cell_angle_gamma 90.00
loop_
_atom_site_label
_atom_site_fract_x
_atom_site_fract_y
_atom_site_fract_z
_atom_site_occupancy
Ta1 0.000 0.000 0.000 1
Zn1 0.000 0.000 0.500 1
Os1 0.000 0.500 0.249 1

---

# TaZn2Os, optimized geometry, DFT PBE
# DFT total energy in eV per atom: -5.783
# Size of the total moment in Bohr magnetons per cell: 0.00
# E above lowest polymorph in meV/atom: 643
data_TaZn2Os
_chemical_formula_sum 'Ta4 Zn8 Os4'
_space_group_name_H-M_alt 'I -4 2 d'
_space_group_IT_number 122
_space_group_name_Hall 'I -4 2bw'
_cell_length_a 7.086
_cell_length_b 7.086
_cell_length_c 5.230
_cell_angle_alpha 90.00
_cell_angle_beta 90.00
_cell_angle_gamma 90.00
loop_
_atom_site_label
_atom_site_fract_x
_atom_site_fract_y
_atom_site_fract_z
_atom_site_occupancy
Ta1 0.000 0.000 0.000 1
Zn1 0.235 0.250 0.625 1
Os1 0.000 0.000 0.500 1

---

# TaZn2Os, optimized geometry, DFT PBE
# DFT total energy in eV per atom: -6.413
# Size of the total moment in Bohr magnetons per cell: 0.00
# E above lowest polymorph in meV/atom: 13
data_TaZn2Os
_chemical_formula_sum 'Ta2 Zn4 Os2'
_space_group_name_H-M_alt 'I -4 m 2'
_space_group_IT_number 119
_space_group_name_Hall 'I -4 -2'
_cell_length_a 4.075
_cell_length_b 4.075
_cell_length_c 7.296
_cell_angle_alpha 90.00
_cell_angle_beta 90.00
_cell_angle_gamma 90.00
loop_
_atom_site_label
_atom_site_fract_x
_atom_site_fract_y
_atom_site_fract_z
_atom_site_occupancy
Ta1 0.000 0.000 0.000 1
Zn1 0.000 0.000 0.500 1
Zn2 0.000 0.500 0.750 1
Os1 0.000 0.500 0.250 1

---

# TaZn2Os, optimized geometry, DFT PBE
# DFT total energy in eV per atom: -6.363
# Size of the total moment in Bohr magnetons per cell: 0.00
# E above lowest polymorph in meV/atom: 62
data_TaZn2Os
_chemical_formula_sum 'Ta2 Zn4 Os2'
_space_group_name_H-M_alt 'I m m m'
_space_group_IT_number 71
_space_group_name_Hall '-I 2 2'
_cell_length_a 3.121
_cell_length_b 4.396
_cell_length_c 8.994
_cell_angle_alpha 90.00
_cell_angle_beta 90.00
_cell_angle_gamma 90.00
loop_
_atom_site_label
_atom_site_fract_x
_atom_site_fract_y
_atom_site_fract_z
_atom_site_occupancy
Ta1 0.000 0.000 0.000 1
Zn1 0.000 0.500 0.242 1
Os1 0.000 0.000 0.500 1

---

# TaZn2Os, optimized geometry, DFT PBE
# DFT total energy in eV per atom: -6.312
# Size of the total moment in Bohr magnetons per cell: 0.00
# E above lowest polymorph in meV/atom: 114
data_TaZn2Os
_chemical_formula_sum 'Ta2 Zn4 Os2'
_space_group_name_H-M_alt 'I 4/m m m'
_space_group_IT_number 139
_space_group_name_Hall '-I 4 2'
_cell_length_a 3.812
_cell_length_b 3.812
_cell_length_c 8.406
_cell_angle_alpha 90.00
_cell_angle_beta 90.00
_cell_angle_gamma 90.00
loop_
_atom_site_label
_atom_site_fract_x
_atom_site_fract_y
_atom_site_fract_z
_atom_site_occupancy
Ta1 0.000 0.000 0.000 1
Zn1 0.000 0.500 0.250 1
Os1 0.000 0.000 0.500 1

---

# TaZn4Os, optimized geometry, DFT PBE
# DFT total energy in eV per atom: -4.669
# Size of the total moment in Bohr magnetons per cell: 0.00
data_TaZn4Os
_chemical_formula_sum 'Ta4 Zn16 Os4'
_space_group_name_H-M_alt 'F -4 3 m'
_space_group_IT_number 216
_space_group_name_Hall 'F -4 2 3'
_cell_length_a 6.963
_cell_length_b 6.963
_cell_length_c 6.963
_cell_angle_alpha 90.00
_cell_angle_beta 90.00
_cell_angle_gamma 90.00
loop_
_atom_site_label
_atom_site_fract_x
_atom_site_fract_y
_atom_site_fract_z
_atom_site_occupancy
Ta1 0.000 0.000 0.000 1
Zn1 0.125 0.125 0.625 1
Os1 0.250 0.250 0.250 1